A plane-wave DFT calculation with PBE was carried out for a geometry-optimized Co2PdRhC structure.

a = 3.8513 Å, b = 3.8513 Å, c = 4.0013 Å
α = 90.00°, β = 90.00°, γ = 90.00°
Sites, in units of the cell vectors:
C  0.0000  0.0000  0.0000
Co  0.0000  0.5000  0.0000
Co  0.5000  0.0000  0.0000
Rh  0.0000  0.0000  0.5000
Pd  0.5000  0.5000  0.5000

## Properties
spin magnetization = 3.02 μB/f.u.
space group = No. 123
density of states at the Fermi level = 4.82 states/eV/f.u.
final energy = -6.990 eV/atom
ΔH_f (0 K) = 0.206 eV/atom